1.
Density functional theory data (PBE) for an optimized crystal structure of Ac2Nd2Y15.

Properties
Uncorrected energy ... -5.758 eV per atom
V ... 35.462 Å³/atom
Space group ... R-3m (166)
Density ... 5.1 g/cm3

Cell and atoms, written as POSCAR:
```
Ac2Nd2Y15
1.0
6.738 -5.741 -0.647
6.738 5.741 -0.647
2.721 0.000 8.448
Ac Nd Y
2 2 15
direct
0.114 0.114 0.114
0.886 0.886 0.886
0.333 0.333 0.333
0.667 0.667 0.667
0.000 0.000 0.500
0.500 0.000 0.000
0.000 0.500 0.000
0.306 0.694 0.000
0.000 0.306 0.694
0.694 0.000 0.306
0.000 0.694 0.306
0.306 0.000 0.694
0.694 0.306 0.000
0.632 0.632 0.156
0.156 0.632 0.632
0.632 0.156 0.632
0.368 0.368 0.844
0.844 0.368 0.368
0.368 0.844 0.368
```

2.
Density functional theory data (PBE) for an optimized crystal structure of NbBi2B.

Properties
Uncorrected energy ... -5.049 eV per atom
V ... 22.799 Å³/atom
Space group ... I-42d (122)
Density ... 9.5 g/cm3

Cell and atoms, written as POSCAR:
```
NbBi2B
1.0
-1.075 4.992 -4.992
-5.355 -3.868 -2.714
-5.519 2.232 -1.687
Nb B Bi
2 2 4
direct
0.000 0.000 0.000
0.750 0.250 0.500
0.500 0.500 0.000
0.250 0.750 0.500
0.560 0.125 0.250
0.190 0.625 0.250
0.375 0.440 0.750
0.875 0.810 0.750
```

3.
Density functional theory data (PBE) for an optimized crystal structure of MnNi2S4.

Properties
V ... 15.390 Å³/atom
Space group ... Imma (74)
Density ... 4.6 g/cm3
Energy relative to the elements, uncorrected ... -0.477 eV per atom

Cell and atoms, written as POSCAR:
```
MnNi2S4
1.0
5.753 0.000 3.298
1.938 5.543 3.285
-0.035 -0.021 6.728
Mn Ni S
2 4 8
direct
0.000 0.500 0.000
0.500 0.500 0.000
0.127 0.123 0.623
0.500 0.000 0.000
0.500 0.500 0.500
0.873 0.877 0.377
0.258 0.255 0.230
0.258 0.730 0.755
0.258 0.257 0.757
0.728 0.257 0.757
0.272 0.743 0.243
0.742 0.270 0.245
0.742 0.743 0.243
0.742 0.745 0.770
```

4.
Density functional theory data (PBE) for an optimized crystal structure of TlPdPb2.

Properties
V ... 26.268 Å³/atom
Space group ... P2_1/m (11)
Density ... 11.5 g/cm3
ΔE to the lowest computed polymorph ... 7 meV/atom

Cell and atoms, written as POSCAR:
```
TlPdPb2
1.0
0.312 3.242 1.913
-4.290 -3.693 3.076
6.667 -3.588 4.993
Tl Pd Pb
2 2 4
direct
0.057 0.127 0.250
0.943 0.873 0.750
0.747 0.496 0.250
0.253 0.504 0.750
0.362 0.719 0.055
0.638 0.281 0.945
0.638 0.281 0.555
0.362 0.719 0.445
```

5.
Density functional theory data (PBE) for an optimized crystal structure of MgCd2Fe.

Properties
Uncorrected energy ... -2.762 eV per atom
V ... 18.381 Å³/atom
Space group ... Cm (8)
Density ... 6.9 g/cm3

Cell and atoms, written as POSCAR:
```
MgCd2Fe
1.0
-0.815 -0.061 -5.091
2.117 -0.447 -4.680
-0.524 -4.999 -0.953
Cd Fe Mg
2 1 1
direct
0.000 0.000 0.994
0.240 0.240 0.268
0.499 0.499 0.502
0.761 0.761 0.735
```

6.
Density functional theory data (PBE) for an optimized crystal structure of Li2CaGa.

Properties
Uncorrected energy ... -2.264 eV per atom
V ... 24.077 Å³/atom
Space group ... I-42d (122)
Density ... 2.1 g/cm3

Cell and atoms, written as POSCAR:
```
Li2CaGa
1.0
4.338 0.000 0.000
0.000 4.338 0.000
2.169 2.169 10.237
Ca Ga Li
2 2 4
direct
0.500 0.500 0.000
0.250 0.750 0.500
0.000 0.000 0.000
0.750 0.250 0.500
0.706 0.125 0.250
0.044 0.625 0.250
0.375 0.294 0.750
0.875 0.956 0.750
```

7.
Density functional theory data (PBE) for an optimized crystal structure of Pm5SiBi2.

Properties
V ... 36.414 Å³/atom
Space group ... Cmcm (63)
Density ... 6.7 g/cm3
Energy relative to the elements, uncorrected ... -0.341 eV per atom

Cell and atoms, written as POSCAR:
```
Pm5SiBi2
1.0
-5.050 3.483 0.836
-0.827 -7.074 1.556
3.954 2.500 13.467
Pm Si Bi
10 2 4
direct
0.945 0.890 0.879
0.945 0.890 0.621
0.361 0.723 0.408
0.361 0.723 0.092
0.685 0.371 0.250
0.315 0.629 0.750
0.639 0.277 0.592
0.639 0.277 0.908
0.055 0.110 0.121
0.055 0.110 0.379
0.779 0.559 0.750
0.221 0.441 0.250
0.819 0.638 0.431
0.819 0.638 0.069
0.181 0.362 0.569
0.181 0.362 0.931
```

8.
Density functional theory data (PBE) for an optimized crystal structure of CsSn2Au4.

Properties
V ... 33.583 Å³/atom
Density ... 8.2 g/cm3
ΔE to the lowest computed polymorph ... 239 meV/atom

Cell and atoms, written as POSCAR:
```
CsSn2Au4
1.0
-3.903 4.953 -5.343
-4.057 1.219 7.097
8.426 2.177 0.758
Cs Sn Au
2 4 8
direct
0.250 0.750 0.500
0.000 0.000 0.000
0.625 0.375 0.750
0.625 0.875 0.250
0.625 0.375 0.250
0.125 0.375 0.750
0.899 0.228 0.357
0.351 0.522 0.143
0.871 0.542 0.643
0.772 0.101 0.643
0.458 0.129 0.357
0.380 0.208 0.857
0.477 0.649 0.857
0.792 0.620 0.143
```